Cs3Ce2TaAs6: relaxed, PBE-GGA.

```
data_Cs3Ce2TaAs6
_space_group_name_H-M_alt 'C 1 2/m 1'
_space_group_IT_number 12
_space_group_name_Hall '-C 2y'
_cell_length_a 7.298
_cell_length_b 12.652
_cell_length_c 8.733
_cell_angle_alpha 90.00
_cell_angle_beta 106.17
_cell_angle_gamma 90.00
loop_
_atom_site_label
_atom_site_fract_x
_atom_site_fract_y
_atom_site_fract_z
_atom_site_occupancy
Cs1 0.000 0.000 0.000 1
Cs2 0.000 0.330 0.000 1
Ce1 0.000 0.166 0.500 1
Ta1 0.000 0.500 0.500 1
As1 0.210 0.347 0.672 1
As2 0.246 0.500 0.326 1
```

Summary:
Calculated volume in Å³/cell: 774.4
Energy of formation from the pure elements in eV/atom: -0.590

***

La2TlCoHg: relaxed, PBE-GGA.

```
data_La2TlCoHg
_space_group_name_H-M_alt 'P 4/m m m'
_space_group_IT_number 123
_space_group_name_Hall '-P 4 2'
_cell_length_a 5.244
_cell_length_b 5.244
_cell_length_c 5.057
_cell_angle_alpha 90.00
_cell_angle_beta 90.00
_cell_angle_gamma 90.00
loop_
_atom_site_label
_atom_site_fract_x
_atom_site_fract_y
_atom_site_fract_z
_atom_site_occupancy
La1 0.000 0.500 0.000 1
Tl1 0.000 0.000 0.500 1
Co1 0.000 0.000 0.000 1
Hg1 0.500 0.500 0.500 1
```

Summary:
Calculated volume in Å³/cell: 139.1
Energy of formation from the pure elements in eV/atom: -0.295
Excess energy over the best structure of this formula in the dataset in eV per atom: 0.0000

***

Ti3HO: relaxed, PBE-GGA.

```
data_Ti3HO
_space_group_name_H-M_alt 'C 1 c 1'
_space_group_IT_number 9
_space_group_name_Hall 'C -2yc'
_cell_length_a 8.654
_cell_length_b 5.343
_cell_length_c 5.500
_cell_angle_alpha 90.00
_cell_angle_beta 118.41
_cell_angle_gamma 90.00
loop_
_atom_site_label
_atom_site_fract_x
_atom_site_fract_y
_atom_site_fract_z
_atom_site_occupancy
Ti1 0.000 0.087 0.000 1
Ti2 0.147 0.409 0.447 1
Ti3 0.320 0.111 0.978 1
H1 0.394 0.206 0.695 1
O1 0.072 0.253 0.725 1
```

Summary:
Calculated volume in Å³/cell: 223.7
Excess energy over the best structure of this formula in the dataset in eV per atom: 0.0099

***

Tb2Y3Tm6Pu: relaxed, PBE-GGA.

```
data_Tb2Y3Tm6Pu
_space_group_name_H-M_alt 'C 1 2/m 1'
_space_group_IT_number 12
_space_group_name_Hall '-C 2y'
_cell_length_a 6.088
_cell_length_b 10.545
_cell_length_c 11.597
_cell_angle_alpha 90.00
_cell_angle_beta 100.10
_cell_angle_gamma 90.00
loop_
_atom_site_label
_atom_site_fract_x
_atom_site_fract_y
_atom_site_fract_z
_atom_site_occupancy
Tb1 0.000 0.167 0.000 1
Y1 0.000 0.000 0.500 1
Y2 0.000 0.333 0.500 1
Tm1 0.247 0.335 0.247 1
Tm2 0.247 0.500 0.752 1
Pu1 0.000 0.500 0.000 1
```

Summary:
Calculated volume in Å³/cell: 733.0
Energy of formation from the pure elements in eV/atom: 0.048

***

VAs2Os: relaxed, PBE-GGA.

```
data_VAs2Os
_space_group_name_H-M_alt 'I -4 2 d'
_space_group_IT_number 122
_space_group_name_Hall 'I -4 2bw'
_cell_length_a 4.000
_cell_length_b 4.000
_cell_length_c 16.546
_cell_angle_alpha 90.00
_cell_angle_beta 90.00
_cell_angle_gamma 90.00
loop_
_atom_site_label
_atom_site_fract_x
_atom_site_fract_y
_atom_site_fract_z
_atom_site_occupancy
V1 0.000 0.000 0.000 1
As1 0.249 0.250 0.625 1
Os1 0.000 0.000 0.500 1
```

Summary:
Calculated volume in Å³/cell: 264.8
Energy of formation from the pure elements in eV/atom: 0.298
Excess energy over the best structure of this formula in the dataset in eV per atom: 0.2213

***

BaSr2Zn: relaxed, PBE-GGA.

```
data_BaSr2Zn
_space_group_name_H-M_alt 'R -3 m'
_space_group_IT_number 166
_space_group_name_Hall '-R 3 2"'
_cell_length_a 4.3993
_cell_length_b 4.3993
_cell_length_c 34.6007
_cell_angle_alpha 90.00
_cell_angle_beta 90.00
_cell_angle_gamma 120.00
loop_
_atom_site_label
_atom_site_fract_x
_atom_site_fract_y
_atom_site_fract_z
_atom_site_occupancy
Ba1 0.0000 0.0000 0.0000 1
Sr1 0.0000 0.0000 0.2259 1
Zn1 0.0000 0.0000 0.5000 1
```

Summary:
Calculated volume in Å³/cell: 579.9
Energy of formation from the pure elements in eV/atom: -0.021

***

> The lowest calculated volume belongs to which entry?

La2TlCoHg